No. 1
{
  "formula": "Na2LiCuCl6",
  "functional": "PBE",
  "state": "relaxed",
  "lattice": [[0.0000, 4.7611, 4.7611], [4.7611, 0.0000, 4.7611], [4.7611, 4.7611, 0.0000]],
  "species": ["Cl", "Cl", "Cl", "Na", "Li", "Na", "Cl", "Cu", "Cl", "Cl"],
  "fractional_positions": [[0.2455, 0.2455, 0.7545], [0.7545, 0.2455, 0.7545], [0.7545, 0.2455, 0.2455], [0.7500, 0.7500, 0.7500], [0.5000, 0.5000, 0.5000], [0.2500, 0.2500, 0.2500], [0.2455, 0.7545, 0.2455], [0.0000, 0.0000, 0.0000], [0.2455, 0.7545, 0.7545], [0.7545, 0.7545, 0.2455]],
  "energy_ev_per_atom": -2.999,
  "spacegroup": "Fm-3m",
  "rho_g_cm3": 2.53
}

***

No. 2
{
  "formula": "MgCu3Cl",
  "functional": "PBE",
  "state": "relaxed",
  "lattice": [[-1.1660, -0.5028, 6.3886], [-3.6991, 5.3432, 0.4401], [-1.1162, -4.8081, -4.2500]],
  "species": ["Mg", "Mg", "Cu", "Cu", "Cl", "Cu", "Cl", "Cu", "Cu", "Cu"],
  "fractional_positions": [[0.2500, 0.7500, 0.5000], [0.7500, 0.2500, 0.5000], [0.3657, 0.1343, 0.5000], [0.6343, 0.8657, 0.5000], [0.5000, 0.5000, 0.0000], [0.2500, 0.2500, 0.0000], [0.0000, 0.0000, 0.0000], [0.7500, 0.7500, 0.0000], [0.8657, 0.3657, 0.2315], [0.1343, 0.6343, 0.7685]],
  "energy_ev_per_atom": -2.503,
  "spacegroup": "I4/mcm",
  "rho_g_cm3": 4.52
}

***

No. 3
{
  "formula": "CuMo3Cl7",
  "functional": "PBE",
  "state": "relaxed",
  "lattice": [[12.8570, 0.0000, 0.0000], [0.0000, 12.8570, 0.0000], [0.0000, 0.0000, 12.8570]],
  "species": ["Cl", "Cu", "Cl", "Cl", "Mo", "Cl", "Cl", "Cl", "Cl", "Cl", "Cl", "Cl", "Cu", "Cl", "Cl", "Mo", "Mo", "Cl", "Cl", "Cl", "Cl", "Cu", "Mo", "Cl", "Cl", "Cl", "Cl", "Cl", "Cl", "Cl", "Cl", "Cl", "Cl", "Mo", "Mo", "Cu", "Mo", "Cl", "Mo", "Cl", "Cl", "Cl", "Cl", "Mo", "Cl", "Mo", "Cl", "Cl", "Mo", "Mo", "Cu", "Cl", "Cl", "Cl", "Mo", "Mo", "Mo", "Cl", "Cl", "Cu", "Cl", "Cu", "Mo", "Cl", "Cl", "Mo", "Mo", "Cl", "Cl", "Cl", "Cl", "Cl", "Cu", "Mo", "Mo", "Cl", "Cl", "Cl", "Cl", "Mo", "Cl", "Cl", "Mo", "Cl", "Cl", "Mo", "Mo", "Cl"],
  "fractional_positions": [[0.3144, 0.8327, 0.9305], [0.3109, 0.3109, 0.3109], [0.3875, 0.3875, 0.6125], [0.1856, 0.3327, 0.4305], [0.2236, 0.2832, 0.6123], [0.9361, 0.8231, 0.6246], [0.0695, 0.6856, 0.8327], [0.8754, 0.5639, 0.6769], [0.6769, 0.8754, 0.5639], [0.8327, 0.9305, 0.3144], [0.3327, 0.5695, 0.8144], [0.9305, 0.3144, 0.8327], [0.8109, 0.1891, 0.8109], [0.3231, 0.1246, 0.5639], [0.8754, 0.4361, 0.3231], [0.7168, 0.3877, 0.2236], [0.2764, 0.2168, 0.8877], [0.3231, 0.8754, 0.4361], [0.8231, 0.6246, 0.9361], [0.8144, 0.3327, 0.5695], [0.1856, 0.6673, 0.5695], [0.6891, 0.3109, 0.6891], [0.2764, 0.7832, 0.1123], [0.6125, 0.6125, 0.6125], [0.1125, 0.1125, 0.8875], [0.6246, 0.0639, 0.1769], [0.1125, 0.8875, 0.1125], [0.6673, 0.5695, 0.1856], [0.1673, 0.9305, 0.6856], [0.5639, 0.6769, 0.8754], [0.4361, 0.6769, 0.1246], [0.8875, 0.1125, 0.1125], [0.4305, 0.1856, 0.3327], [0.7236, 0.7832, 0.8877], [0.2168, 0.8877, 0.2764], [0.6891, 0.6891, 0.3109], [0.8877, 0.2764, 0.2168], [0.6769, 0.1246, 0.4361], [0.1123, 0.2764, 0.7832], [0.4361, 0.3231, 0.8754], [0.8231, 0.3754, 0.0639], [0.3144, 0.1673, 0.0695], [0.0695, 0.3144, 0.1673], [0.7832, 0.8877, 0.7236], [0.8327, 0.0695, 0.6856], [0.8877, 0.7236, 0.7832], [0.1246, 0.5639, 0.3231], [0.9305, 0.6856, 0.1673], [0.3877, 0.7764, 0.2832], [0.7764, 0.7168, 0.6123], [0.3109, 0.6891, 0.6891], [0.8144, 0.6673, 0.4305], [0.1673, 0.0695, 0.3144], [0.8875, 0.8875, 0.8875], [0.2236, 0.7168, 0.3877], [0.6123, 0.2236, 0.2832], [0.1123, 0.7236, 0.2168], [0.1769, 0.3754, 0.9361], [0.9361, 0.1769, 0.3754], [0.1891, 0.8109, 0.8109], [0.5639, 0.3231, 0.1246], [0.1891, 0.1891, 0.1891], [0.7764, 0.2832, 0.3877], [0.0639, 0.1769, 0.6246], [0.3754, 0.9361, 0.1769], [0.6123, 0.7764, 0.7168], [0.7832, 0.1123, 0.2764], [0.3327, 0.4305, 0.1856], [0.3875, 0.6125, 0.3875], [0.1769, 0.6246, 0.0639], [0.6673, 0.4305, 0.8144], [0.1246, 0.4361, 0.6769], [0.8109, 0.8109, 0.1891], [0.2832, 0.3877, 0.7764], [0.7236, 0.2168, 0.1123], [0.6856, 0.8327, 0.0695], [0.4305, 0.8144, 0.6673], [0.6125, 0.3875, 0.3875], [0.3754, 0.0639, 0.8231], [0.3877, 0.2236, 0.7168], [0.5695, 0.8144, 0.3327], [0.0639, 0.8231, 0.3754], [0.2168, 0.1123, 0.7236], [0.5695, 0.1856, 0.6673], [0.6856, 0.1673, 0.9305], [0.7168, 0.6123, 0.7764], [0.2832, 0.6123, 0.2236], [0.6246, 0.9361, 0.8231]],
  "energy_ev_per_atom": -5.320,
  "spacegroup": "Pn-3",
  "rho_g_cm3": 3.75
}

***

Question: Which formula does entry 1 have?
Answer: Na2LiCuCl6